This record from Alexandria describes a geometry-optimized NaHfSe3 structure. The functional is GGA-PBE.

a b c (Å): 5.2165 5.2165 5.2165
angles (deg): 90.00 90.00 90.00
Element x y z (fractional)
Na  0.0000  0.0000  0.0000
Hf  0.5000  0.5000  0.5000
Se  0.0000  0.5000  0.5000
Se  0.5000  0.0000  0.5000
Se  0.5000  0.5000  0.0000

Results
E above lowest polymorph	139	meV per atom
formation energy from raw total energies	-4.63	eV per formula unit
total magnetic moment	0.0	μB/cell